No. 1
A relaxed structure of NbZn2Ge2. Source: Alexandria via LeMat-Bulk, functional PBE-GGA.

Properties
Fermi-level density of states: 0.443 states/eV/atom
Energy relative to the elements: 0.107 eV per atom
Space group: P4/mbm
Volume: 169 Å³ per cell
Raw total energy: -4.26 eV/atom

Structure (POSCAR):
```
NbZn2Ge2
1.0
6.915 0.000 0.000
0.000 6.915 0.000
0.000 0.000 3.541
Nb Zn Ge
2 4 4
Cartesian
0.000 0.000 0.000 Nb
3.458 3.458 0.000 Nb
1.102 2.356 1.770 Zn
2.356 5.813 1.770 Zn
4.559 1.102 1.770 Zn
5.813 4.559 1.770 Zn
0.979 4.437 0.000 Ge
2.479 0.979 0.000 Ge
4.437 5.936 0.000 Ge
5.936 2.479 0.000 Ge
```


No. 2
A relaxed structure of NbZnGe3. Source: Alexandria via LeMat-Bulk, functional PBE-GGA.

Properties
Fermi-level density of states: 0.502 states/eV/atom
Energy relative to the elements: 0.459 eV per atom
Space group: Pm-3m
Volume: 129 Å³ per cell
Distance to the lowest polymorph of the same formula: 0 meV/atom
Raw total energy: -4.58 eV/atom

Structure (POSCAR):
```
NbZnGe3
1.0
5.049 0.000 0.000
0.000 5.049 0.000
0.000 0.000 5.049
Nb Zn Ge
1 1 3
Cartesian
0.000 0.000 0.000 Nb
2.524 2.524 2.524 Zn
0.000 0.000 2.524 Ge
0.000 2.524 0.000 Ge
2.524 0.000 0.000 Ge
```


No. 3
A relaxed structure of NbZnGe3. Source: Alexandria via LeMat-Bulk, functional PBE-GGA.

Properties
Fermi-level density of states: 1.748 states/eV/atom
Energy relative to the elements: 1.021 eV per atom
Space group: Pm-3m
Volume: 104 Å³ per cell
Distance to the lowest polymorph of the same formula: 562 meV/atom
Raw total energy: -4.02 eV/atom

Structure (POSCAR):
```
NbZnGe3
1.0
4.708 0.000 0.000
0.000 4.708 0.000
0.000 0.000 4.708
Nb Zn Ge
1 1 3
Cartesian
0.000 0.000 0.000 Nb
2.354 2.354 2.354 Zn
0.000 2.354 2.354 Ge
2.354 0.000 2.354 Ge
2.354 2.354 0.000 Ge
```


No. 4
A relaxed structure of Nb2Zn2Ge. Source: Alexandria via LeMat-Bulk, functional PBE-GGA.

Properties
Fermi-level density of states: 0.702 states/eV/atom
Energy relative to the elements: 0.098 eV per atom
Space group: P4/mbm
Volume: 163 Å³ per cell
Distance to the lowest polymorph of the same formula: 61 meV/atom
Raw total energy: -5.36 eV/atom

Structure (POSCAR):
```
Nb2Zn2Ge
1.0
6.425 0.000 0.000
0.000 6.425 0.000
0.000 0.000 3.944
Nb Zn Ge
4 4 2
Cartesian
1.124 2.089 0.000 Nb
2.089 5.302 0.000 Nb
4.336 1.124 0.000 Nb
5.302 4.336 0.000 Nb
0.826 4.039 1.972 Zn
2.386 0.826 1.972 Zn
4.039 5.599 1.972 Zn
5.599 2.386 1.972 Zn
0.000 0.000 1.972 Ge
3.213 3.213 1.972 Ge
```


No. 5
A relaxed structure of Nb4ZnGe. Source: Alexandria via LeMat-Bulk, functional PBE-GGA.

Properties
Fermi-level density of states: 0.816 states/eV/atom
Energy relative to the elements: -0.205 eV per atom
Space group: P4/mcc
Volume: 206 Å³ per cell
Raw total energy: -7.90 eV/atom

Structure (POSCAR):
```
Nb4ZnGe
1.0
6.277 0.000 0.000
0.000 6.277 0.000
0.000 0.000 5.229
Nb Zn Ge
8 2 2
Cartesian
0.975 2.162 0.000 Nb
0.975 4.115 2.614 Nb
2.162 0.975 2.614 Nb
2.162 5.302 0.000 Nb
4.115 0.975 0.000 Nb
4.115 5.302 2.614 Nb
5.302 2.162 2.614 Nb
5.302 4.115 0.000 Nb
3.138 3.138 1.307 Zn
3.138 3.138 3.922 Zn
0.000 0.000 1.307 Ge
0.000 0.000 3.922 Ge
```


No. 6
A relaxed structure of Nb2Zn2Ge. Source: Alexandria via LeMat-Bulk, functional PBE-GGA.

Properties
Fermi-level density of states: 0.167 states/eV/atom
Energy relative to the elements: 0.037 eV per atom
Space group: P4/mbm
Volume: 180 Å³ per cell
Distance to the lowest polymorph of the same formula: 0 meV/atom
Raw total energy: -5.42 eV/atom

Structure (POSCAR):
```
Nb2Zn2Ge
1.0
6.714 0.000 0.000
0.000 6.714 0.000
0.000 0.000 3.995
Nb Zn Ge
4 4 2
Cartesian
1.012 2.345 0.000 Nb
2.345 5.702 0.000 Nb
4.369 1.012 0.000 Nb
5.702 4.369 0.000 Nb
0.994 4.351 1.997 Zn
2.363 0.994 1.997 Zn
4.351 5.720 1.997 Zn
5.720 2.363 1.997 Zn
0.000 0.000 0.000 Ge
3.357 3.357 0.000 Ge
```


No. 7
A relaxed structure of Nb3ZnGe. Source: Alexandria via LeMat-Bulk, functional PBE-GGA.

Properties
Fermi-level density of states: 1.514 states/eV/atom
Energy relative to the elements: 0.921 eV per atom
Space group: Pm-3m
Volume: 108 Å³ per cell
Distance to the lowest polymorph of the same formula: 925 meV/atom
Raw total energy: -6.30 eV/atom

Structure (POSCAR):
```
Nb3ZnGe
1.0
4.761 0.000 0.000
0.000 4.761 0.000
0.000 0.000 4.761
Nb Zn Ge
3 1 1
Cartesian
0.000 0.000 2.380 Nb
0.000 2.380 0.000 Nb
2.380 0.000 0.000 Nb
2.380 2.380 2.380 Zn
0.000 0.000 0.000 Ge
```


No. 8
A relaxed structure of Zr2NbGe. Source: Alexandria via LeMat-Bulk, functional PBE-GGA.

Properties
Fermi-level density of states: 1.074 states/eV/atom
Energy relative to the elements: -0.359 eV per atom
Space group: P4/mmm
Volume: 78 Å³ per cell
Raw total energy: -8.31 eV/atom

Structure (POSCAR):
```
Zr2NbGe
1.0
4.601 0.000 0.000
0.000 4.601 0.000
0.000 0.000 3.667
Zr Nb Ge
2 1 1
Cartesian
0.000 2.301 0.000 Zr
2.301 0.000 0.000 Zr
0.000 0.000 1.834 Nb
2.301 2.301 1.834 Ge
```


No. 9
A relaxed structure of ZrNbGe2. Source: Alexandria via LeMat-Bulk, functional PBE-GGA.

Properties
Fermi-level density of states: 0.879 states/eV/atom
Energy relative to the elements: 0.526 eV per atom
Space group: I-42d
Volume: 215 Å³ per cell
Distance to the lowest polymorph of the same formula: 938 meV/atom
Raw total energy: -6.44 eV/atom

Structure (POSCAR):
```
ZrNbGe2
1.0
-3.013 3.013 5.931
3.013 -3.013 5.931
3.013 3.013 -5.931
Zr Nb Ge
2 2 4
Cartesian
0.000 0.000 0.000 Zr
0.000 3.013 2.965 Zr
3.013 0.000 2.965 Nb
0.000 0.000 5.931 Nb
1.507 -1.388 4.448 Ge
1.626 1.507 1.483 Ge
1.507 4.401 -1.483 Ge
1.388 1.507 7.413 Ge
```


No. 10
A relaxed structure of ZrNbGe2. Source: Alexandria via LeMat-Bulk, functional PBE-GGA.

Properties
Fermi-level density of states: 0.862 states/eV/atom
Energy relative to the elements: -0.340 eV per atom
Space group: R-3m
Volume: 74 Å³ per cell
Distance to the lowest polymorph of the same formula: 72 meV/atom
Raw total energy: -7.30 eV/atom

Structure (POSCAR):
```
ZrNbGe2
1.0
2.149 1.241 4.658
-2.149 1.241 4.658
0.000 -2.481 4.658
Zr Nb Ge
1 1 2
Cartesian
0.000 0.000 0.000 Zr
0.000 0.000 6.987 Nb
0.000 0.000 3.371 Ge
0.000 0.000 10.602 Ge
```


No. 11
A relaxed structure of ZrNb5Ge4. Source: Alexandria via LeMat-Bulk, functional PBE-GGA.

Properties
Fermi-level density of states: 0.729 states/eV/atom
Energy relative to the elements: -0.044 eV per atom
Space group: Pmmn
Volume: 386 Å³ per cell
Raw total energy: -7.78 eV/atom

Structure (POSCAR):
```
ZrNb5Ge4
1.0
8.397 0.000 0.000
0.000 8.425 0.000
0.000 0.000 5.458
Zr Nb Ge
2 10 8
Cartesian
2.099 2.106 0.024 Zr
6.298 6.319 5.433 Zr
0.316 4.390 4.082 Nb
0.316 8.248 4.082 Nb
2.099 6.319 2.823 Nb
3.883 4.390 4.082 Nb
3.883 8.248 4.082 Nb
4.514 0.177 1.376 Nb
4.514 4.036 1.376 Nb
6.298 2.106 2.635 Nb
8.082 0.177 1.376 Nb
8.082 4.036 1.376 Nb
0.789 2.106 2.800 Ge
2.099 4.934 0.532 Ge
2.099 7.704 0.532 Ge
3.409 2.106 2.800 Ge
4.988 6.319 2.657 Ge
6.298 0.721 4.926 Ge
6.298 3.491 4.926 Ge
7.608 6.319 2.657 Ge
```


No. 12
A relaxed structure of Zr2Nb3Ge4. Source: Alexandria via LeMat-Bulk, functional PBE-GGA.

Properties
Fermi-level density of states: 0.366 states/eV/atom
Energy relative to the elements: -0.714 eV per atom
Space group: P2_1/c
Volume: 321 Å³ per cell
Distance to the lowest polymorph of the same formula: 0 meV/atom
Raw total energy: -8.02 eV/atom

Structure (POSCAR):
```
Zr2Nb3Ge4
1.0
7.037 0.000 0.000
0.000 7.034 0.000
-2.343 0.000 6.488
Zr Nb Ge
4 6 8
Cartesian
1.188 1.201 0.358 Zr
0.016 2.316 3.602 Zr
4.678 4.718 2.886 Zr
3.506 5.832 6.130 Zr
1.189 4.737 1.587 Nb
0.017 5.814 4.831 Nb
2.347 0.000 3.244 Nb
3.519 3.517 0.000 Nb
4.677 1.220 1.657 Nb
3.505 2.297 4.901 Nb
-1.429 3.766 5.499 Ge
-0.257 6.785 2.255 Ge
1.413 0.928 5.615 Ge
2.584 2.589 2.371 Ge
2.110 4.445 4.117 Ge
3.281 6.106 0.873 Ge
4.952 0.249 4.233 Ge
6.123 3.268 0.989 Ge
```


No. 13
A relaxed structure of ZrNbGe2. Source: Alexandria via LeMat-Bulk, functional PBE-GGA.

Properties
Fermi-level density of states: 1.246 states/eV/atom
Energy relative to the elements: -0.269 eV per atom
Space group: Fm-3m
Volume: 72 Å³ per cell
Distance to the lowest polymorph of the same formula: 143 meV/atom
Raw total energy: -7.23 eV/atom

Structure (POSCAR):
```
ZrNbGe2
1.0
0.000 3.298 3.298
3.298 0.000 3.298
3.298 3.298 0.000
Zr Nb Ge
1 1 2
Cartesian
0.000 0.000 0.000 Zr
3.298 3.298 3.298 Nb
1.649 1.649 1.649 Ge
4.948 4.948 4.948 Ge
```


No. 14
A relaxed structure of Zr2NbGe2. Source: Alexandria via LeMat-Bulk, functional PBE-GGA.

Properties
Fermi-level density of states: 0.444 states/eV/atom
Energy relative to the elements: -0.763 eV per atom
Space group: P4/mbm
Volume: 187 Å³ per cell
Raw total energy: -8.04 eV/atom

Structure (POSCAR):
```
Zr2NbGe2
1.0
7.018 0.000 0.000
0.000 7.018 0.000
0.000 0.000 3.800
Zr Nb Ge
4 2 4
Cartesian
1.217 2.293 0.000 Zr
2.293 5.802 0.000 Zr
4.726 1.217 0.000 Zr
5.802 4.726 0.000 Zr
0.000 0.000 1.900 Nb
3.509 3.509 1.900 Nb
0.912 4.421 1.900 Ge
2.598 0.912 1.900 Ge
4.421 6.107 1.900 Ge
6.107 2.598 1.900 Ge
```


No. 15
A relaxed structure of ZrNbGe2. Source: Alexandria via LeMat-Bulk, functional PBE-GGA.

Properties
Fermi-level density of states: 0.582 states/eV/atom
Energy relative to the elements: -0.412 eV per atom
Space group: Pbcm
Volume: 311 Å³ per cell
Distance to the lowest polymorph of the same formula: 0 meV/atom
Raw total energy: -7.38 eV/atom

Structure (POSCAR):
```
ZrNbGe2
1.0
8.007 0.000 0.000
0.000 6.969 0.000
0.000 0.000 5.576
Zr Nb Ge
4 4 8
Cartesian
1.035 0.612 1.394 Zr
1.035 2.873 4.182 Zr
6.972 4.096 1.394 Zr
6.972 6.357 4.182 Zr
2.952 4.021 1.394 Nb
2.952 6.432 4.182 Nb
5.055 0.536 1.394 Nb
5.055 2.948 4.182 Nb
1.045 5.226 0.000 Ge
1.045 5.226 2.788 Ge
3.135 1.742 0.000 Ge
3.135 1.742 2.788 Ge
4.872 5.226 0.000 Ge
4.872 5.226 2.788 Ge
6.962 1.742 0.000 Ge
6.962 1.742 2.788 Ge
```


No. 16
A relaxed structure of ZrNb3Ge. Source: Alexandria via LeMat-Bulk, functional PBE-GGA.

Properties
Fermi-level density of states: 1.254 states/eV/atom
Energy relative to the elements: 1.654 eV per atom
Space group: Pm-3m
Volume: 119 Å³ per cell
Distance to the lowest polymorph of the same formula: 1018 meV/atom
Raw total energy: -7.02 eV/atom

Structure (POSCAR):
```
ZrNb3Ge
1.0
4.916 0.000 0.000
0.000 4.916 0.000
0.000 0.000 4.916
Zr Nb Ge
1 3 1
Cartesian
0.000 0.000 0.000 Zr
0.000 0.000 2.458 Nb
0.000 2.458 0.000 Nb
2.458 0.000 0.000 Nb
2.458 2.458 2.458 Ge
```


No. 17
A relaxed structure of Zr3NbGe. Source: Alexandria via LeMat-Bulk, functional PBE-GGA.

Properties
Fermi-level density of states: 2.281 states/eV/atom
Energy relative to the elements: 0.894 eV per atom
Space group: Pm-3m
Volume: 130 Å³ per cell
Distance to the lowest polymorph of the same formula: 359 meV/atom
Raw total energy: -7.17 eV/atom

Structure (POSCAR):
```
Zr3NbGe
1.0
5.062 0.000 0.000
0.000 5.062 0.000
0.000 0.000 5.062
Zr Nb Ge
3 1 1
Cartesian
0.000 0.000 2.531 Zr
0.000 2.531 0.000 Zr
2.531 0.000 0.000 Zr
0.000 0.000 0.000 Nb
2.531 2.531 2.531 Ge
```


No. 18
A relaxed structure of ZrNb2Ge2. Source: Alexandria via LeMat-Bulk, functional PBE-GGA.

Properties
Fermi-level density of states: 0.222 states/eV/atom
Energy relative to the elements: -0.573 eV per atom
Space group: P4/mbm
Volume: 178 Å³ per cell
Distance to the lowest polymorph of the same formula: 0 meV/atom
Raw total energy: -8.16 eV/atom

Structure (POSCAR):
```
ZrNb2Ge2
1.0
7.060 0.000 0.000
0.000 7.060 0.000
0.000 0.000 3.568
Zr Nb Ge
2 4 4
Cartesian
0.000 0.000 0.000 Zr
3.530 3.530 0.000 Zr
1.186 2.344 1.784 Nb
2.344 5.874 1.784 Nb
4.716 1.186 1.784 Nb
5.874 4.716 1.784 Nb
0.922 4.452 0.000 Ge
2.608 0.922 0.000 Ge
4.452 6.138 0.000 Ge
6.138 2.608 0.000 Ge
```


No. 19
A relaxed structure of Zr2NbGe. Source: Alexandria via LeMat-Bulk, functional PBE-GGA.

Properties
Fermi-level density of states: 1.017 states/eV/atom
Energy relative to the elements: -0.074 eV per atom
Space group: R-3m
Volume: 83 Å³ per cell
Raw total energy: -8.02 eV/atom

Structure (POSCAR):
```
Zr2NbGe
1.0
1.617 0.934 9.105
-1.617 0.934 9.105
0.000 -1.868 9.105
Zr Nb Ge
2 1 1
Cartesian
0.000 0.000 6.753 Zr
0.000 0.000 20.562 Zr
0.000 0.000 0.000 Nb
0.000 0.000 13.657 Ge
```


No. 20
A relaxed structure of Zr2Nb3Ge4. Source: Alexandria via LeMat-Bulk, functional PBE-GGA.

Properties
Fermi-level density of states: 0.464 states/eV/atom
Energy relative to the elements: -0.547 eV per atom
Space group: Pnma
Volume: 650 Å³ per cell
Distance to the lowest polymorph of the same formula: 168 meV/atom
Raw total energy: -7.85 eV/atom

Structure (POSCAR):
```
Zr2Nb3Ge4
1.0
6.897 0.000 0.000
0.000 13.509 0.000
0.000 0.000 6.980
Zr Nb Ge
8 12 16
Cartesian
0.993 1.663 1.157 Zr
0.993 5.091 1.157 Zr
2.455 8.418 4.647 Zr
2.455 11.846 4.647 Zr
4.441 1.663 2.333 Zr
4.441 5.091 2.333 Zr
5.903 8.418 5.822 Zr
5.903 11.846 5.822 Zr
0.191 8.006 2.256 Nb
0.191 12.258 2.256 Nb
1.261 10.132 6.960 Nb
2.188 3.377 3.470 Nb
3.257 1.251 5.746 Nb
3.257 5.503 5.746 Nb
3.639 8.006 1.233 Nb
3.639 12.258 1.233 Nb
4.709 10.132 3.510 Nb
5.636 3.377 0.020 Nb
6.706 1.251 4.723 Nb
6.706 5.503 4.723 Nb
0.364 10.132 4.183 Ge
1.196 3.377 5.883 Ge
1.402 7.342 6.817 Ge
1.402 12.922 6.817 Ge
2.046 0.587 3.327 Ge
2.046 6.168 3.327 Ge
2.252 10.132 2.393 Ge
3.084 3.377 0.693 Ge
3.812 10.132 6.287 Ge
4.645 3.377 4.587 Ge
4.850 7.342 3.653 Ge
4.850 12.922 3.653 Ge
5.495 0.587 0.163 Ge
5.495 6.168 0.163 Ge
5.700 10.132 1.097 Ge
6.533 3.377 2.797 Ge
```


No. 21
A relaxed structure of Zr2NbGe. Source: Alexandria via LeMat-Bulk, functional PBE-GGA.

Properties
Fermi-level density of states: 1.012 states/eV/atom
Energy relative to the elements: 0.168 eV per atom
Space group: I-42d
Volume: 169 Å³ per cell
Raw total energy: -7.78 eV/atom

Structure (POSCAR):
```
Zr2NbGe
1.0
-3.940 3.940 2.721
3.940 -3.940 2.721
3.940 3.940 -2.721
Zr Nb Ge
4 2 2
Cartesian
5.909 1.733 -0.680 Zr
1.733 1.970 0.680 Zr
-1.970 2.206 2.041 Zr
2.206 1.970 3.401 Zr
3.940 0.000 1.361 Nb
0.000 0.000 2.721 Nb
0.000 0.000 0.000 Ge
0.000 3.940 1.361 Ge
```


No. 22
A relaxed structure of ZrNbGe3. Source: Alexandria via LeMat-Bulk, functional PBE-GGA.

Properties
Fermi-level density of states: 1.090 states/eV/atom
Energy relative to the elements: 0.544 eV per atom
Space group: Pm-3m
Volume: 117 Å³ per cell
Distance to the lowest polymorph of the same formula: 0 meV/atom
Raw total energy: -5.95 eV/atom

Structure (POSCAR):
```
ZrNbGe3
1.0
4.897 0.000 0.000
0.000 4.897 0.000
0.000 0.000 4.897
Zr Nb Ge
1 1 3
Cartesian
0.000 0.000 0.000 Zr
2.448 2.448 2.448 Nb
0.000 2.448 2.448 Ge
2.448 0.000 2.448 Ge
2.448 2.448 0.000 Ge
```


No. 23
A relaxed structure of ZrNb3Ge. Source: Alexandria via LeMat-Bulk, functional PBE-GGA.

Properties
Fermi-level density of states: 1.250 states/eV/atom
Energy relative to the elements: 0.636 eV per atom
Space group: Pm-3m
Volume: 110 Å³ per cell
Distance to the lowest polymorph of the same formula: 0 meV/atom
Raw total energy: -8.04 eV/atom

Structure (POSCAR):
```
ZrNb3Ge
1.0
4.797 0.000 0.000
0.000 4.797 0.000
0.000 0.000 4.797
Zr Nb Ge
1 3 1
Cartesian
0.000 0.000 0.000 Zr
0.000 2.399 2.399 Nb
2.399 0.000 2.399 Nb
2.399 2.399 0.000 Nb
2.399 2.399 2.399 Ge
```